No. 1
{"formula": "YThZnIn", "functional": "PBE-GGA", "state": "optimized geometry", "volume_a3_per_fu": 105, "dos_at_fermi_per_ev_cell": 2.3, "space_group": "F-43m", "formation_energy_kcal_per_mol_atoms": -6.824, "lattice": [[0.000, 3.740, 3.740], [3.740, 0.000, 3.740], [3.740, 3.740, 0.000]], "species": ["Y", "Th", "Zn", "In"], "fractional_positions": [[0.000, 0.000, 0.000], [0.500, 0.500, 0.500], [0.250, 0.250, 0.250], [0.750, 0.750, 0.750]]}

---

No. 2
{"formula": "ZnTc2Se", "functional": "PBE-GGA", "state": "optimized geometry", "volume_a3_per_fu": 58, "dos_at_fermi_per_ev_cell": 2.8, "space_group": "P4/mmm", "raw_formation_energy_kj_per_mol_fu": 84, "e_above_lowest_polymorph_ev_per_fu": 0.67, "lattice": [[3.055, 0.000, 0.000], [0.000, 3.055, 0.000], [0.000, 0.000, 6.224]], "species": ["Zn", "Tc", "Tc", "Se"], "fractional_positions": [[0.000, 0.000, 0.000], [0.500, 0.500, 0.258], [0.500, 0.500, 0.742], [0.000, 0.000, 0.500]]}

---

No. 3
{"formula": "Pu2PbCl8", "functional": "PBE-GGA", "state": "optimized geometry", "volume_a3_per_fu": 340, "dos_at_fermi_per_ev_cell": 23.2, "space_group": "C2/m", "raw_formation_energy_kj_per_mol_fu": -1766, "e_above_lowest_polymorph_ev_per_fu": 0.05, "lattice": [[10.744, -2.016, 0.000], [10.744, 2.016, 0.000], [-0.798, 0.000, 7.839]], "species": ["Pu", "Pu", "Pb", "Cl", "Cl", "Cl", "Cl", "Cl", "Cl", "Cl", "Cl"], "fractional_positions": [[0.160, 0.160, 0.347], [0.840, 0.840, 0.653], [0.500, 0.500, 0.000], [0.023, 0.023, 0.260], [0.243, 0.243, 0.665], [0.363, 0.363, 0.921], [0.383, 0.383, 0.464], [0.617, 0.617, 0.536], [0.637, 0.637, 0.079], [0.757, 0.757, 0.335], [0.977, 0.977, 0.740]]}

---

No. 4
{"formula": "YMg2Mo", "functional": "PBE-GGA", "state": "optimized geometry", "volume_a3_per_fu": 85, "dos_at_fermi_per_ev_cell": 3.0, "space_group": "Cmmm", "e_above_lowest_polymorph_ev_per_fu": 0.16, "formation_energy_kcal_per_mol_atoms": 7.428, "lattice": [[2.094, -2.102, 0.000], [2.094, 2.102, 0.000], [0.000, 0.000, 9.671]], "species": ["Y", "Mg", "Mg", "Mo"], "fractional_positions": [[0.000, 0.000, 0.000], [0.500, 0.500, 0.283], [0.500, 0.500, 0.717], [0.000, 0.000, 0.500]]}

---

No. 5
{"formula": "La2TbGd", "functional": "PBE-GGA", "state": "optimized geometry", "volume_a3_per_fu": 138, "dos_at_fermi_per_ev_cell": 6.3, "space_group": "P4/mmm", "e_above_lowest_polymorph_ev_per_fu": 0.00, "formation_energy_kcal_per_mol_atoms": 0.382, "lattice": [[5.216, 0.000, 0.000], [0.000, 5.216, 0.000], [0.000, 0.000, 5.086]], "species": ["La", "La", "Tb", "Gd"], "fractional_positions": [[0.000, 0.500, 0.000], [0.500, 0.000, 0.000], [0.000, 0.000, 0.500], [0.500, 0.500, 0.500]]}

---

No. 6
{"formula": "DyPuPd2", "functional": "PBE-GGA", "state": "optimized geometry", "volume_a3_per_fu": 91, "dos_at_fermi_per_ev_cell": 13.6, "space_group": "Pm", "formation_energy_kcal_per_mol_atoms": -15.100, "lattice": [[3.791, 0.000, 0.000], [0.000, 4.426, 0.000], [-1.886, 0.000, 5.418]], "species": ["Dy", "Pu", "Pd", "Pd"], "fractional_positions": [[0.000, 0.000, 0.000], [0.722, 0.500, 0.443], [0.275, 0.000, 0.549], [0.448, 0.500, 0.896]]}